Here is a relaxed K3Ce3MnO8 crystal from Alexandria via LeMat-Bulk. Energies are from PBE+U.

Output
DOS(E_F), states/eV/f.u.: 7.41
Total DFT energy (no corrections), eV/cell: -106.52
SG: R-3m, No. 166
Density, g cm⁻³: 4.44

a = 7.4692 Å, b = 7.4692 Å, c = 7.4692 Å
α = 56.31°, β = 56.31°, γ = 56.31°
Positions (direct):
K 0.0000 0.5000 0.5000
K 0.5000 0.0000 0.5000
K 0.5000 0.5000 0.0000
Ce 0.0000 0.0000 0.5000
Ce 0.0000 0.5000 0.0000
Ce 0.5000 0.0000 0.0000
Mn 0.5000 0.5000 0.5000
O 0.2231 0.7250 0.7250
O 0.2302 0.2302 0.2302
O 0.2750 0.2750 0.7769
O 0.2750 0.7769 0.2750
O 0.7250 0.2231 0.7250
O 0.7250 0.7250 0.2231
O 0.7698 0.7698 0.7698
O 0.7769 0.2750 0.2750